# 1
## In2CoRhPb (PBE)

Data for a relaxed structure of In2CoRhPb.

Cell: 4.8411 4.8411 4.8560 Å, 90.00 90.00 90.00°
Last column: nearest neighbours and their distance in Å.
Element x y z (fractional)
In1 0.0000 0.5000 0.0000  2 Co 2.42
In2 0.5000 0.0000 0.0000  2 Co 2.42
Co1 0.0000 0.0000 0.0000  4 In 2.42, 2 Pb 2.43
Rh1 0.5000 0.5000 0.5000  4 Pb 3.42, 8 In 3.43
Pb1 0.0000 0.0000 0.5000  2 Co 2.43

- space group = P4/mmm (123)
- D(E_F) (states/eV/atom) = 1.063
- calculated formation energy (meV/atom) = 498
- volume (Å³ per cell) = 113.80

# 2
## Y2CoCl (PBE)

Data for a relaxed structure of Y2CoCl.

Cell: 5.1812 5.1812 3.2975 Å, 101.28 101.28 90.80°
Last column: nearest neighbours and their distance in Å.
Element x y z (fractional)
Y1 0.0000 0.5000 0.0000  2 Cl 2.79, 2 Co 2.79
Y2 0.5000 0.0000 0.0000  2 Cl 2.79, 2 Co 2.79
Co1 0.0000 0.0000 0.5000  4 Y 2.79
Cl1 0.5000 0.5000 0.5000  4 Y 2.79

- space group = C2/m (12)
- D(E_F) (states/eV/atom) = 0.929
- volume (Å³ per cell) = 85.00
- E_form (uncorrected) (meV/atom) = -448